A plane-wave DFT calculation with PBE with a Hubbard U was carried out for a geometry-optimized GaTc2WF structure.

Unit cell a=4.6552 b=4.6552 c=4.9359 alpha=90.00 beta=90.00 gamma=90.00
With the nearest neighbours (Å) after each atom.
Sites, in units of the cell vectors:
Ga1 0.0000 0.0000 0.0000  4 Tc 2.33, 2 W 2.47
Tc1 0.0000 0.5000 0.0000  2 Ga 2.33
Tc2 0.5000 0.0000 0.0000  2 Ga 2.33
W1 0.0000 0.0000 0.5000  2 Ga 2.47
F1 0.5000 0.5000 0.5000  4 W 3.29, 8 Tc 3.39

Summary:
M_tot (μB/f.u.): 6.24
Energy (eV for the cell shown): -23.649
V (A^3/atom): 21.39
Space group: P4/mmm